DFT (GGA+U) results for crystalline ErCrSbO6 at its relaxed geometry.

Calculated values
* total energy: -63.01 eV per formula unit
* magnetic moment: 3.997 μB/cell

abc: 5.4094 5.4094 8.5697
angles: 90.00 90.00 120.00
Space group P-31c (No. 163)
Inequivalent atoms, fractional coordinates:
Er  0.3333  0.6667  0.2500
Cr  0.0000  0.0000  0.0000
Sb  0.3333  0.6667  0.7500
O  0.0323  0.3391  0.6234